9
Lattice="3.1668 0.0000 -0.1225 0.0000 7.1526 0.0000 -1.3256 -3.5763 6.8395" Properties=species:S:1:pos:R:3 comment="Zr2GeRh6, optimized geometry, DFT GGA-PBE" sg="No. 71" total_energy_ev_per_atom=-7.68 e_form_ev_per_atom=-0.362 pbc="T T T"
Rh 1.5834 1.9074 -0.0613
Rh 0.0876 5.7239 2.2556
Rh 0.0876 1.4287 2.2556
Rh 1.7536 2.1476 4.4614
Rh 1.5834 5.2452 -0.0613
Rh 1.7536 -2.1476 4.4614
Zr 1.6692 3.5763 2.1090
Zr 0.1720 0.0000 4.6080
Ge 0.0000 0.0000 0.0000

***

20
Lattice="-1.5231 -3.5723 -1.0019 1.5837 -2.3454 5.9550 -10.0767 5.2196 4.7357" Properties=species:S:1:pos:R:3 comment="Zr2Ge3Rh5, optimized geometry, DFT GGA-PBE" sg="No. 36" total_energy_ev_per_atom=-7.51 e_form_ev_per_atom=-0.738 pbc="T T T"
Rh -10.2391 1.0449 3.8131
Rh -4.7547 -0.2350 8.0663
Rh -5.1365 -0.4377 1.3422
Rh -1.4904 -3.1962 5.6347
Rh -5.6070 0.8169 5.6114
Rh -4.6454 -1.3752 3.9382
Rh -0.2745 -1.0063 4.0051
Rh -7.7475 -0.8960 6.9454
Rh -2.3714 0.3502 2.3565
Rh -8.0821 1.8412 5.7218
Ge -2.4385 -2.1611 3.3852
Ge -5.4540 -1.6613 6.1876
Ge 0.5947 -1.9762 6.1422
Ge -6.8127 0.3302 9.1797
Ge -4.5983 1.0168 3.3649
Ge -9.9149 0.2476 6.1631
Zr -2.5940 -0.5437 5.8822
Zr -0.7921 -2.2542 1.2145
Zr -7.4517 -0.1104 3.6948
Zr -9.1950 1.5133 8.5830

***

16
Lattice="8.7999 0.0000 0.0000 0.0000 8.7999 0.0000 0.0000 0.0000 4.0845" Properties=species:S:1:pos:R:3 comment="GeRu, optimized geometry, DFT GGA-PBE" sg="No. 87" total_energy_ev_per_atom=-6.89 e_form_ev_per_atom=0.054 pbc="T T T"
Ge 6.7065 7.5334 2.0423
Ge 3.1334 6.4934 0.0000
Ge 5.6665 2.3065 0.0000
Ge 6.4934 5.6665 0.0000
Ge 2.0934 1.2665 2.0423
Ge 2.3065 3.1334 0.0000
Ge 7.5334 2.0934 2.0423
Ge 1.2665 6.7065 2.0423
Ru 0.8054 3.3318 2.0423
Ru 5.4681 0.8054 2.0423
Ru 7.7318 3.5946 0.0000
Ru 5.2053 7.7318 0.0000
Ru 7.9946 5.4681 2.0423
Ru 1.0681 5.2053 0.0000
Ru 3.3318 7.9946 2.0423
Ru 3.5946 1.0681 0.0000

***

6
Lattice="3.8174 0.0000 0.0000 0.0000 3.8111 0.0000 0.0000 -1.9056 5.8499" Properties=species:S:1:pos:R:3 comment="GeRu5, optimized geometry, DFT GGA-PBE" sg="No. 65" total_energy_ev_per_atom=-8.42 e_form_ev_per_atom=0.076 pbc="T T T"
Ru 1.9087 0.0000 1.9924
Ru 1.9087 1.9056 3.8576
Ru 1.9087 1.9056 0.0000
Ru 0.0000 1.9056 2.0561
Ru 0.0000 0.0000 3.7939
Ge 0.0000 0.0000 0.0000

***

12
Lattice="6.9675 0.0000 0.0000 -3.4837 6.0340 0.0000 0.0000 0.0000 4.6698" Properties=species:S:1:pos:R:3 comment="GeRu, optimized geometry, DFT GGA-PBE" sg="No. 176" total_energy_ev_per_atom=-6.86 e_form_ev_per_atom=0.084 pbc="T T T"
Ru 1.9380 2.1049 3.5023
Ru -0.6918 5.4081 1.1674
Ru 4.3376 3.3032 3.5023
Ru -0.8539 2.7308 1.1674
Ru 1.5457 3.9291 1.1674
Ru 4.1755 0.6259 3.5023
Ge -0.5697 1.8026 3.5023
Ge 5.1215 0.4079 1.1674
Ge 1.2762 1.3947 1.1674
Ge 2.2075 4.6393 3.5023
Ge -1.6378 5.6261 3.5023
Ge 4.0534 4.2314 1.1674

***

32
Lattice="-1.3806 1.5663 6.1026 -3.3502 -11.3374 2.1520 8.4640 -2.0383 2.4380" Properties=species:S:1:pos:R:3 comment="GeRu, optimized geometry, DFT GGA-PBE" sg="No. 70" total_energy_ev_per_atom=-6.59 e_form_ev_per_atom=0.357 pbc="T T T"
Ge -1.8218 -1.6719 5.1297
Ge 2.0649 -0.4973 0.5948
Ge 4.8648 -9.3543 8.6142
Ge 1.3231 -9.1183 4.3439
Ge 6.3991 -1.5411 1.8432
Ge -2.8067 -8.1238 3.1544
Ge 3.1004 -3.4743 3.2974
Ge 0.4920 -6.1906 1.7002
Ge 2.3079 -2.6665 6.3192
Ge 4.0337 -6.4266 5.9705
Ge 4.6217 -7.1851 2.8897
Ge 7.2301 -4.4688 4.4869
Ge 5.6066 -0.7333 4.8650
Ge -0.3005 -5.3828 4.7220
Ge 1.4768 0.2613 3.6755
Ge 0.7350 -8.3598 7.4246
Ru 0.5476 -10.3684 6.1935
Ru 4.8092 -5.1766 4.1208
Ru 5.5214 -2.7665 3.6634
Ru -2.0093 -3.6805 3.8986
Ru 0.5991 -0.9642 5.4957
Ru 2.4438 -10.0621 8.2481
Ru 3.1856 -1.4410 4.4990
Ru 2.9130 -5.4828 2.0663
Ru -0.3857 -7.4160 3.5204
Ru -0.1131 -3.3742 5.9531
Ru -2.9941 -10.1324 1.9233
Ru -0.3561 -1.2050 0.2287
Ru -1.0979 -9.8261 3.9779
Ru 3.1560 -7.6520 7.7907
Ru 2.2008 -7.8929 2.5237
Ru -2.7215 -6.0906 4.3560

***

40
Lattice="-0.8847 2.3537 -5.1965 -9.0892 0.8579 1.9360 1.9333 10.4969 4.4253" Properties=species:S:1:pos:R:3 comment="Ge3Ru2, optimized geometry, DFT GGA-PBE" sg="No. 60" total_energy_ev_per_atom=-6.84 e_form_ev_per_atom=-0.354 polymorph_energy_ev_per_atom=0.000 pbc="T T T"
Ge -5.7227 11.4809 3.2116
Ge -7.5517 4.8347 2.8437
Ge -6.9958 1.5340 1.6421
Ge -5.3324 6.0587 -2.2020
Ge -5.7322 3.3412 -1.3491
Ge -2.3084 10.3673 2.5140
Ge -2.3179 2.2276 -2.0468
Ge -4.3721 8.9420 1.0288
Ge -1.7696 4.8056 2.2342
Ge -0.7428 5.3272 -1.2991
Ge -6.1810 6.3571 0.4813
Ge -7.2978 8.3814 2.4639
Ge 0.4670 10.1118 0.7348
Ge -6.2710 8.9029 -1.0693
Ge -2.7082 7.6498 3.3668
Ge -0.4890 8.8738 -1.6789
Ge -8.5076 3.5967 0.4301
Ge -1.8596 7.3515 0.6835
Ge -3.6685 4.7666 0.1361
Ge -4.5888 11.7177 0.3072
Ge -3.4518 1.9909 0.8576
Ge -6.9584 9.6775 5.0089
Ge -1.0823 4.0310 -3.8440
Ge -1.0448 12.1745 -0.4773
Ru -4.5451 2.1316 -3.0706
Ru -0.4600 8.6345 2.4433
Ru -7.5807 5.0740 -1.2785
Ru -5.4288 1.0799 -0.1899
Ru -4.2092 6.3045 1.9689
Ru 0.0825 5.8995 1.0548
Ru -9.3427 2.5845 -2.0487
Ru -0.6313 0.6271 -1.2118
Ru -6.5857 10.3478 1.0556
Ru -2.0535 9.8514 0.0592
Ru -3.0236 4.7125 -2.2181
Ru -5.9871 3.8571 1.1056
Ru -8.1231 7.8091 0.1101
Ru -1.4549 3.3608 0.1092
Ru -5.0170 8.9960 3.3829
Ru -3.8314 7.4040 -0.8041

***

2
Lattice="-2.5299 1.5020 -0.7055 1.3941 -1.6822 -2.0930 -2.0383 -2.9553 1.0175" Properties=species:S:1:pos:R:3 comment="GeRu, optimized geometry, DFT GGA-PBE" sg="No. 187" total_energy_ev_per_atom=-7.14 e_form_ev_per_atom=-0.190 pbc="T T T"
Ru -0.9330 -2.0985 -1.1217
Ge 0.0000 0.0000 0.0000